Nd6InHg2 (PBE-GGA, optimized geometry); SG = No. 71; energy above the lowest structure with this stoichiometry = 25 meV/atom; E_tot = -0.2809 Ry per atom; total moment = 0.00 μB/atom; energy of formation = -0.272 eV/atom
1.0
9.065 0.198 0.016
-3.252 8.465 -0.016
-3.094 -4.206 7.414
Nd Hg In
12 4 2
Cartesian
5.407 -0.804 2.416
-0.459 3.765 2.400
6.287 2.063 0.386
-2.687 5.260 4.998
3.179 0.692 5.013
5.319 5.600 1.339
-3.567 2.394 7.028
3.118 4.190 4.081
-2.599 -1.144 6.075
-0.398 0.267 3.332
2.647 1.618 1.339
0.074 2.839 6.075
2.038 4.914 1.013
3.864 -2.593 4.807
0.682 -0.458 6.401
2.108 -1.414 2.622
0.000 0.000 0.000
-3.173 2.129 3.699

NdIn3Hg3 (PBE-GGA, optimized geometry); SG = No. 12; energy above the lowest structure with this stoichiometry = 0 meV/atom; E_tot = -0.1586 Ry per atom; total moment = 0.00 μB/atom; energy of formation = -0.173 eV/atom
1.0
7.389 -0.268 0.048
-0.251 7.389 0.048
0.224 0.223 6.904
In Nd Hg
6 2 6
Cartesian
4.794 2.557 3.500
5.637 5.625 3.596
1.724 1.720 3.405
1.735 5.399 0.048
5.403 1.722 0.048
2.568 4.788 3.500
5.105 5.093 0.144
2.257 2.252 6.856
0.188 0.187 5.339
3.431 7.301 1.904
7.174 7.157 1.662
3.931 0.043 5.096
7.309 3.414 1.904
0.052 3.931 5.096

NdInHg6 (PBE-GGA, optimized geometry); SG = No. 38; E_tot = -0.0987 Ry per atom; total moment = 0.00 μB/atom; energy of formation = -0.178 eV/atom
1.0
-4.790 -1.286 -0.827
1.360 -0.926 -6.441
0.866 -5.530 3.587
Nd In Hg
1 1 6
Cartesian
0.924 -4.991 2.413
-1.343 -4.447 -0.587
-0.713 -4.641 -3.939
-1.706 -1.760 -2.665
1.157 -2.826 -2.304
-1.072 -1.922 -6.086
1.647 -5.666 -0.727
0.434 -2.148 0.828

Nd2InHg8 (PBE-GGA, optimized geometry); SG = No. 123; E_tot = -0.1180 Ry per atom; total moment = 0.00 μB/atom; energy of formation = -0.270 eV/atom
1.0
-4.205 1.236 -1.836
-1.905 -4.030 1.648
-3.056 5.942 10.997
Nd Hg In
2 8 1
Cartesian
-0.961 1.869 3.459
-2.095 4.073 7.539
-4.726 5.720 8.524
-3.576 3.087 10.266
-3.630 3.589 4.581
-2.480 0.956 6.323
-2.535 1.458 0.637
-1.384 -1.175 2.379
-5.141 2.660 7.414
-4.024 0.488 3.395
0.000 0.000 0.000